DFT (PBE) results for crystalline CaPdBr2 at its relaxed geometry.

Computed properties:
Its theoretical density is 4505 kg/m3. The offset from the most stable computed form is 23.2 meV per atom. The calculation puts the total magnetization at 0.0000 μB/atom. The value obtained for the calculated total energy is -3.60 eV per atom. As for the energy relative to the elements, uncorrected: -0.963 eV per atom.

Lattice parameters (Å, degrees): 5.270 5.270 16.258 90.00 90.00 90.00
Space group I-42d (No. 122)
Symmetry-distinct sites (fractional):
Ca1 0.000 0.000 0.000 (multiplicity 4)
Pd1 0.000 0.000 0.500 (multiplicity 4)
Br1 0.225 0.250 0.625 (multiplicity 8)



DFT (PBE) results for crystalline NaSiAs2 at its relaxed geometry.

Computed properties:
Its theoretical density is 3632 kg/m3. The calculation puts the total magnetization at 0.0000 μB/atom. The value obtained for the calculated total energy is -4.11 eV per atom. As for the energy relative to the elements, uncorrected: -0.099 eV per atom.

Lattice parameters (Å, degrees): 7.125 7.125 7.238 90.00 90.00 90.00
Space group I-42d (No. 122)
Symmetry-distinct sites (fractional):
Na1 0.000 0.000 0.000 (multiplicity 4)
Si1 0.000 0.000 0.500 (multiplicity 4)
As1 0.184 0.250 0.625 (multiplicity 8)



DFT (PBE) results for crystalline AsPbSCl2 at its relaxed geometry.

Computed properties:
Its theoretical density is 4654 kg/m3. The offset from the most stable computed form is 0.0 meV per atom. The calculation puts the total magnetization at 0.0004 μB/atom. The value obtained for the calculated total energy is -3.42 eV per atom. As for the energy relative to the elements, uncorrected: -0.185 eV per atom.

Lattice parameters (Å, degrees): 5.121 5.121 5.238 90.00 90.00 90.00
Space group P4/mmm (No. 123)
Symmetry-distinct sites (fractional):
As1 0.000 0.000 0.000 (multiplicity 1)
Pb1 0.500 0.500 0.500 (multiplicity 1)
S1 0.000 0.000 0.500 (multiplicity 1)
Cl1 0.000 0.500 0.000 (multiplicity 2)



DFT (PBE) results for crystalline RbHo2Tm at its relaxed geometry.

Computed properties:
The formation enthalpy at 0 K comes out at 1.237 eV per formula unit. Its theoretical density is 6658 kg/m3. The calculation puts the total magnetization at 0.0002 μB/atom. The value obtained for the calculated total energy is -3.34 eV per atom.

Lattice parameters (Å, degrees): 3.5801 3.5801 39.3819 90.00 90.00 120.00
Space group R-3m (No. 166, hexagonal axes)
Symmetry-distinct sites (fractional):
Rb1 0.0000 0.0000 0.0000 (multiplicity 3)
Ho1 0.0000 0.0000 0.0965 (multiplicity 6)
Tm1 0.0000 0.0000 0.5000 (multiplicity 3)



DFT (PBE) results for crystalline Cs2AgTeS4 at its relaxed geometry.

Computed properties:
Its theoretical density is 3630 kg/m3. The calculation puts the total magnetization at 0.1199 μB/atom. The value obtained for the calculated total energy is -3.44 eV per atom. As for the energy relative to the elements, uncorrected: -0.409 eV per atom.

Lattice parameters (Å, degrees): 6.341 14.526 25.014 90.00 90.00 90.00
Space group Fddd (No. 70, origin choice 2)
Symmetry-distinct sites (fractional):
Cs1 0.125 0.125 0.303 (multiplicity 16)
Ag1 0.125 0.125 0.125 (multiplicity 8)
Te1 0.125 0.125 0.625 (multiplicity 8)
S1 0.101 0.273 0.822 (multiplicity 32)



DFT (PBE) results for crystalline Na2SnB2Pd5 at its relaxed geometry.

Computed properties:
The formation enthalpy at 0 K comes out at -3.072 eV per formula unit. Its theoretical density is 7836 kg/m3. The calculation puts the total magnetization at 0.0000 μB/atom. The value obtained for the calculated total energy is -4.90 eV per atom.

Lattice parameters (Å, degrees): 9.941 9.941 3.081 90.00 90.00 90.00
Space group P4/mbm (No. 127)
Symmetry-distinct sites (fractional):
Na1 0.178 0.322 0.000 (multiplicity 4)
Sn1 0.000 0.000 0.000 (multiplicity 2)
B1 0.120 0.620 0.000 (multiplicity 4)
Pd1 0.000 0.500 0.500 (multiplicity 2)
Pd2 0.069 0.770 0.500 (multiplicity 8)



DFT (PBE) results for crystalline Th4GeAs2Ir at its relaxed geometry.

Computed properties:
The formation enthalpy at 0 K comes out at -8.577 eV per formula unit. Its theoretical density is 10233 kg/m3. The calculation puts the total magnetization at 0.0000 μB/atom. The value obtained for the calculated total energy is -7.63 eV per atom.

Lattice parameters (Å, degrees): 7.391 4.198 7.434 90.00 109.11 90.00
Space group P2/m (No. 10)
Symmetry-distinct sites (fractional):
Th1 0.236 0.000 0.234 (multiplicity 2)
Th2 0.246 0.500 0.756 (multiplicity 2)
Ge1 0.500 0.000 0.000 (multiplicity 1)
As1 0.000 0.000 0.500 (multiplicity 1)
As2 0.500 0.500 0.500 (multiplicity 1)
Ir1 0.000 0.500 0.000 (multiplicity 1)



DFT (PBE) results for crystalline Tb2NdDy4Sc at its relaxed geometry.

Computed properties:
The formation enthalpy at 0 K comes out at 0.272 eV per formula unit. Its theoretical density is 7720 kg/m3. The calculation puts the total magnetization at 0.0000 μB/atom. The value obtained for the calculated total energy is -4.81 eV per atom.

Lattice parameters (Å, degrees): 6.097 3.542 11.707 90.00 100.08 90.00
Space group P2/m (No. 10)
Symmetry-distinct sites (fractional):
Tb1 0.000 0.000 0.000 (multiplicity 1)
Tb2 0.000 0.500 0.500 (multiplicity 1)
Nd1 0.500 0.000 0.500 (multiplicity 1)
Dy1 0.248 0.500 0.245 (multiplicity 2)
Dy2 0.255 0.000 0.757 (multiplicity 2)
Sc1 0.500 0.500 0.000 (multiplicity 1)



DFT (PBE) results for crystalline PaCdH at its relaxed geometry.

Computed properties:
Its theoretical density is 10948 kg/m3. The offset from the most stable computed form is 0.0 meV per atom. The calculation puts the total magnetization at 0.0000 μB/atom. The value obtained for the calculated total energy is -4.62 eV per atom.

Lattice parameters (Å, degrees): 3.2237 3.2237 5.8051 90.00 90.00 120.00
Space group P3m1 (No. 156)
Symmetry-distinct sites (fractional):
Pa1 0.0000 0.0000 0.0000 (multiplicity 1)
Cd1 0.3333 0.6667 0.5158 (multiplicity 1)
H1 0.6667 0.3333 0.2092 (multiplicity 1)



DFT (PBE) results for crystalline PrPuHg4 at its relaxed geometry.

Computed properties:
The formation enthalpy at 0 K comes out at 0.690 eV per formula unit. Its theoretical density is 13353 kg/m3. The offset from the most stable computed form is 250.1 meV per atom. The calculation puts the total magnetization at 0.0108 μB/atom. The value obtained for the calculated total energy is -3.27 eV per atom.

Lattice parameters (Å, degrees): 3.295 5.093 8.797 90.00 90.00 90.00
Space group Pmmm (No. 47)
Symmetry-distinct sites (fractional):
Pr1 0.000 0.000 0.000 (multiplicity 1)
Pu1 0.000 0.500 0.500 (multiplicity 1)
Hg1 0.500 0.000 0.337 (multiplicity 2)
Hg2 0.500 0.500 0.171 (multiplicity 2)



DFT (PBE) results for crystalline SmHfCd at its relaxed geometry.

Computed properties:
The formation enthalpy at 0 K comes out at -0.114 eV per formula unit. Its theoretical density is 9622 kg/m3. The offset from the most stable computed form is 0.0 meV per atom. The calculation puts the total magnetization at 0.0000 μB/atom. The value obtained for the calculated total energy is -5.23 eV per atom.

Lattice parameters (Å, degrees): 3.390 3.390 13.254 90.00 90.00 90.00
Space group I4mm (No. 107)
Symmetry-distinct sites (fractional):
Sm1 0.000 0.000 0.000 (multiplicity 2)
Hf1 0.000 0.000 0.673 (multiplicity 2)
Cd1 0.000 0.000 0.319 (multiplicity 2)



DFT (PBE) results for crystalline KAg5Pd2 at its relaxed geometry.

Computed properties:
The formation enthalpy at 0 K comes out at 0.811 eV per formula unit. Its theoretical density is 7687 kg/m3. The calculation puts the total magnetization at 0.0000 μB/atom. The value obtained for the calculated total energy is -3.12 eV per atom.

Lattice parameters (Å, degrees): 4.145 8.069 10.221 90.00 90.00 90.00
Space group Immm (No. 71)
Symmetry-distinct sites (fractional):
K1 0.000 0.000 0.000 (multiplicity 2)
Ag1 0.000 0.180 0.349 (multiplicity 8)
Ag2 0.000 0.500 0.000 (multiplicity 2)
Pd1 0.000 0.500 0.264 (multiplicity 4)



DFT (PBE) results for crystalline BeHg2 at its relaxed geometry.

Computed properties:
The formation enthalpy at 0 K comes out at 1.159 eV per formula unit. Its theoretical density is 11572 kg/m3. The offset from the most stable computed form is 84.0 meV per atom. The calculation puts the total magnetization at 0.0000 μB/atom. The value obtained for the calculated total energy is -1.06 eV per atom.

Lattice parameters (Å, degrees): 3.507 14.142 4.747 90.00 90.00 90.00
Space group Cmcm (No. 63)
Symmetry-distinct sites (fractional):
Be1 0.000 0.208 0.250 (multiplicity 4)
Hg1 0.000 0.159 0.750 (multiplicity 4)
Hg2 0.000 0.436 0.750 (multiplicity 4)



DFT (PBE) results for crystalline Li2ScMn at its relaxed geometry.

Computed properties:
The formation enthalpy at 0 K comes out at 1.034 eV per formula unit. Its theoretical density is 2636 kg/m3. The offset from the most stable computed form is 101.0 meV per atom. The calculation puts the total magnetization at 0.6684 μB/atom. The value obtained for the calculated total energy is -4.57 eV per atom.

Lattice parameters (Å, degrees): 3.162 4.493 5.044 90.00 90.00 90.00
Space group Pmmm (No. 47)
Symmetry-distinct sites (fractional):
Li1 0.000 0.000 0.000 (multiplicity 1)
Li2 0.500 0.500 0.000 (multiplicity 1)
Sc1 0.000 0.500 0.500 (multiplicity 1)
Mn1 0.500 0.000 0.500 (multiplicity 1)



DFT (PBE) results for crystalline LiZrRh2 at its relaxed geometry.

Computed properties:
The formation enthalpy at 0 K comes out at -1.204 eV per formula unit. Its theoretical density is 7941 kg/m3. The calculation puts the total magnetization at 0.0000 μB/atom. The value obtained for the calculated total energy is -6.59 eV per atom.

Lattice parameters (Å, degrees): 3.400 3.400 5.499 90.00 90.00 90.00
Space group P4mm (No. 99)
Symmetry-distinct sites (fractional):
Li1 0.000 0.000 0.000 (multiplicity 1)
Zr1 0.500 0.500 0.695 (multiplicity 1)
Rh1 0.000 0.000 0.473 (multiplicity 1)
Rh2 0.500 0.500 0.159 (multiplicity 1)



DFT (PBE) results for crystalline MgBe3Os at its relaxed geometry.

Computed properties:
The formation enthalpy at 0 K comes out at 2.230 eV per formula unit. Its theoretical density is 5266 kg/m3. The offset from the most stable computed form is 0.0 meV per atom. The calculation puts the total magnetization at 0.0000 μB/atom. The value obtained for the calculated total energy is -4.35 eV per atom.

Lattice parameters (Å, degrees): 4.239 4.239 4.239 90.00 90.00 90.00
Space group Pm-3m (No. 221)
Symmetry-distinct sites (fractional):
Mg1 0.000 0.000 0.000 (multiplicity 1)
Be1 0.000 0.500 0.500 (multiplicity 3)
Os1 0.500 0.500 0.500 (multiplicity 1)



DFT (PBE) results for crystalline AcCrAs2 at its relaxed geometry.

Computed properties:
The formation enthalpy at 0 K comes out at -1.256 eV per formula unit. Its theoretical density is 7545 kg/m3. The offset from the most stable computed form is 394.1 meV per atom. The calculation puts the total magnetization at 0.7880 μB/atom. The value obtained for the calculated total energy is -6.07 eV per atom.

Lattice parameters (Å, degrees): 7.227 7.227 7.227 90.00 90.00 90.00
Space group Fm-3m (No. 225)
Symmetry-distinct sites (fractional):
Ac1 0.000 0.000 0.000 (multiplicity 4)
Cr1 0.000 0.000 0.500 (multiplicity 4)
As1 0.250 0.250 0.250 (multiplicity 8)



DFT (PBE) results for crystalline Li2HfCr at its relaxed geometry.

Computed properties:
The formation enthalpy at 0 K comes out at 2.960 eV per formula unit. Its theoretical density is 6888 kg/m3. The offset from the most stable computed form is 13.9 meV per atom. The calculation puts the total magnetization at 0.0000 μB/atom. The value obtained for the calculated total energy is -5.11 eV per atom.

Lattice parameters (Å, degrees): 6.177 6.177 6.177 90.00 90.00 90.00
Space group Fm-3m (No. 225)
Symmetry-distinct sites (fractional):
Li1 0.250 0.250 0.250 (multiplicity 8)
Hf1 0.000 0.000 0.000 (multiplicity 4)
Cr1 0.000 0.000 0.500 (multiplicity 4)



DFT (PBE) results for crystalline TbGeBO5 at its relaxed geometry.

Computed properties:
Its theoretical density is 6648 kg/m3. The calculation puts the total magnetization at 0.0000 μB/atom. The value obtained for the calculated total energy is -7.57 eV per atom. As for the energy relative to the elements, uncorrected: -2.480 eV per atom.

Lattice parameters (Å, degrees): 6.286 8.410 6.567 90.00 111.93 90.00
Space group C2/c (No. 15)
Symmetry-distinct sites (fractional):
Tb1 0.000 0.154 0.250 (multiplicity 4)
Ge1 0.000 0.500 0.000 (multiplicity 4)
B1 0.000 0.186 0.750 (multiplicity 4)
O1 0.000 0.420 0.250 (multiplicity 4)
O2 0.104 0.286 0.622 (multiplicity 8)
O3 0.172 0.075 0.916 (multiplicity 8)



DFT (PBE) results for crystalline KNiCl at its relaxed geometry.

Computed properties:
Its theoretical density is 2120 kg/m3. The offset from the most stable computed form is 276.0 meV per atom. The calculation puts the total magnetization at 0.0000 μB/atom. The value obtained for the calculated total energy is -3.25 eV per atom. As for the energy relative to the elements, uncorrected: -0.340 eV per atom.

Lattice parameters (Å, degrees): 9.318 8.303 5.396 90.00 90.00 90.00
Space group Pnma (No. 62)
Symmetry-distinct sites (fractional):
K1 0.166 0.250 0.001 (multiplicity 4)
Ni1 0.000 0.250 0.501 (multiplicity 4)
Cl1 0.000 0.000 0.500 (multiplicity 4)